# 1
Computed, not measured: a relaxed LiDyHgBi crystal at the GGA-PBE level of DFT.

As for the energy of formation from the pure elements: -457 meV per atom. The value obtained for the density of states at the Fermi level is 3.43 states/eV/f.u.

The space group is F-43m (No. 216) and the conventional cell measures 7.383, 7.383 and 7.383 Å, with angles of 90.00, 90.00 and 90.00 degrees. Symmetry generates all atoms from Li at (0.000, 0.000, 0.000), Dy at (0.000, 0.000, 0.500), Hg at (0.250, 0.250, 0.750) and Bi at (0.250, 0.250, 0.250).

=====

# 2
Computed, not measured: a relaxed Na2DyHgBi2 crystal at the GGA-PBE level of DFT.

As for the energy of formation from the pure elements: -379 meV per atom. The value obtained for the density of states at the Fermi level is 2.12 states/eV/f.u.

The space group is Pmc2_1 (No. 26) and the conventional cell measures 4.955, 9.390 and 7.500 Å, with angles of 90.00, 90.00 and 90.00 degrees. Symmetry generates all atoms from Na at (0.000, 0.026, 0.000), Na at (0.500, 0.154, 0.281), Dy at (0.500, 0.495, 0.966), Hg at (0.000, 0.317, 0.593), Bi at (0.000, 0.351, 0.179) and Bi at (0.500, 0.191, 0.752).

=====

# 3
Computed, not measured: a relaxed NdDyHgBi crystal at the GGA-PBE level of DFT.

As for the energy of formation from the pure elements: -529 meV per atom. The value obtained for the density of states at the Fermi level is 3.56 states/eV/f.u.

The space group is F-43m (No. 216) and the conventional cell measures 7.699, 7.699 and 7.699 Å, with angles of 90.00, 90.00 and 90.00 degrees. Symmetry generates all atoms from Nd at (0.000, 0.000, 0.000), Dy at (0.000, 0.000, 0.500), Hg at (0.250, 0.250, 0.250) and Bi at (0.250, 0.250, 0.750).